Entry from Alexandria via LeMat-Bulk: an optimized crystal structure of In2AgSe3Cl (PBEsol).

Summary:
* DOS(E_F): 0.0 states/eV/cell
* calculated density: 5.650 g cm⁻³
* total moment: 0.000 μB per formula unit
* E_form (uncorrected): -3.7 eV/f.u.

Unit cell a=7.8963 b=7.8963 c=7.8963 alpha=61.32 beta=61.32 gamma=61.32
Last column: nearest neighbours and their distance in Å.
Fractional coordinates of all 14 atoms:
In 0.0000 0.0000 0.0000  6 Se 2.73
In 0.0000 0.0000 0.5000  4 Se 2.69, 2 Cl 2.82
In 0.0000 0.5000 0.0000  4 Se 2.69, 2 Cl 2.82
In 0.5000 0.0000 0.0000  4 Se 2.69, 2 Cl 2.82
Ag 0.4066 0.4066 0.4066  3 Se 2.53
Ag 0.5934 0.5934 0.5934  3 Se 2.53
Se 0.2181 0.7580 0.7580  1 Ag 2.53, 3 In 2.69-2.73
Se 0.2420 0.2420 0.7819  1 Ag 2.53, 3 In 2.69-2.73
Se 0.2420 0.7819 0.2420  1 Ag 2.53, 3 In 2.69-2.73
Se 0.7580 0.2181 0.7580  1 Ag 2.53, 3 In 2.69-2.73
Se 0.7580 0.7580 0.2181  1 Ag 2.53, 3 In 2.69-2.73
Se 0.7819 0.2420 0.2420  1 Ag 2.53, 3 In 2.69-2.73
Cl 0.2497 0.2497 0.2497  3 In 2.82, 1 Ag 3.00
Cl 0.7503 0.7503 0.7503  3 In 2.82, 1 Ag 3.00